Entry from Alexandria: a geometry-optimized RbFe2Cl8 structure (PBE).

a b c (Å): 6.685 7.628 8.717
angles (deg): 110.91 90.00 115.99
Last column: magnetic moment on the atom in μB.
Fractional coordinates of all 11 atoms:
Cl  0.121  0.735  0.229  0.13
Rb  0.000  0.000  0.000  0.01
Fe  0.201  0.402  0.695  3.46
Cl  0.386  0.265  0.771  0.13
Cl  0.374  0.748  0.826  0.18
Cl  0.837  0.674  0.571  0.19
Cl  0.626  0.252  0.174  0.18
Fe  0.799  0.598  0.305  3.46
Cl  0.163  0.326  0.429  0.19
Cl  0.879  0.265  0.771  0.13
Cl  0.614  0.735  0.229  0.13

Summary:
formation energy (no corrections) = -0.92 eV per atom
N(E_F) = 8.127 states/eV per cell
calculated volume = 366.7 Å³ per cell
crystal system = monoclinic
electronic total energy = -3.891 eV per atom

Entry from Alexandria: a geometry-optimized RbFe2Cl7 structure (PBE).

a b c (Å): 4.017 7.899 10.134
angles (deg): 112.94 90.00 90.00
Last column: magnetic moment on the atom in μB.
Fractional coordinates of all 10 atoms:
Rb  0.000  0.000  0.000  0.00
Cl  0.500  0.662  0.756  0.15
Cl  0.500  0.906  0.244  0.15
Cl  0.500  0.500  0.000  0.11
Cl  0.500  0.094  0.756  0.15
Cl  0.000  0.698  0.396  0.21
Cl  0.500  0.338  0.244  0.15
Fe  0.500  0.371  0.742  3.60
Fe  0.500  0.629  0.258  3.60
Cl  0.000  0.302  0.604  0.21

Summary:
formation energy (no corrections) = -0.88 eV per atom
N(E_F) = 4.544 states/eV per cell
offset from the most stable computed form = 31 meV per atom
calculated volume = 296.1 Å³ per cell
crystal system = orthorhombic
electronic total energy = -3.966 eV per atom

Entry from Alexandria: a geometry-optimized Rb3Fe2Cl7 structure (PBE).

a b c (Å): 4.995 4.995 13.564
angles (deg): 100.61 100.61 90.00
Last column: magnetic moment on the atom in μB.
Fractional coordinates of all 12 atoms:
Cl  0.094  0.594  0.188  0.09
Fe  0.904  0.904  0.808  3.52
Cl  0.906  0.406  0.812  0.09
Cl  0.190  0.190  0.380  0.05
Rb  0.500  0.500  0.000  0.00
Cl  0.406  0.906  0.812  0.09
Cl  0.594  0.094  0.188  0.09
Fe  0.096  0.096  0.192  3.52
Cl  0.810  0.810  0.620  0.05
Rb  0.318  0.318  0.636  0.00
Rb  0.682  0.682  0.364  0.00
Cl  0.000  0.000  0.000  0.09

Summary:
formation energy (no corrections) = -1.32 eV per atom
N(E_F) = 9.033 states/eV per cell
calculated volume = 326.7 Å³ per cell
crystal system = tetragonal
electronic total energy = -4.048 eV per atom

Entry from Alexandria: a geometry-optimized RbFe2Cl7 structure (PBE).

a b c (Å): 4.907 9.049 9.049
angles (deg): 103.85 90.00 90.00
Last column: magnetic moment on the atom in μB.
Fractional coordinates of all 10 atoms:
Cl  0.500  0.299  0.048  0.23
Cl  0.500  0.500  0.500  0.19
Rb  0.000  0.000  0.000  0.00
Fe  0.500  0.711  0.711  3.77
Cl  0.000  0.310  0.310  0.19
Cl  0.500  0.701  0.952  0.23
Cl  0.000  0.690  0.690  0.19
Cl  0.500  0.952  0.701  0.23
Cl  0.500  0.048  0.299  0.23
Fe  0.500  0.289  0.289  3.77

Summary:
formation energy (no corrections) = -0.92 eV per atom
N(E_F) = 1.741 states/eV per cell
offset from the most stable computed form = 0 meV per atom
calculated volume = 390.2 Å³ per cell
crystal system = orthorhombic
electronic total energy = -3.997 eV per atom